# 1
# Si2GeSbTe PBE relaxed
# D(E_F) = 2.872 states/eV per cell
# formation energy from raw total energies = 0.81 eV per atom
# DFT total energy = -18.69 eV for the cell shown
data_Si2GeSbTe
_chemical_formula_sum 'Si2 Ge1 Sb1 Te1'
_cell_length_a 4.780
_cell_length_b 4.780
_cell_length_c 5.645
_cell_angle_alpha 90.00
_cell_angle_beta 90.00
_cell_angle_gamma 90.00
_symmetry_space_group_name_H-M 'P 4/m m m'
_symmetry_Int_Tables_number 123
_symmetry_space_group_name_Hall '-P 4 2'
loop_
_atom_site_label
_atom_site_fract_x
_atom_site_fract_y
_atom_site_fract_z
Si1 0.000 0.500 0.000
Ge1 0.000 0.000 0.000
Sb1 0.000 0.000 0.500
Te1 0.500 0.500 0.500

=====

# 2
# PrNpIr PBE relaxed
# D(E_F) = 9.501 states/eV per cell
# E_form = 0.028 eV per atom
# DFT total energy = -26.50 eV for the cell shown
data_PrNpIr
_chemical_formula_sum 'Pr1 Np1 Ir1'
_cell_length_a 4.5369
_cell_length_b 4.5369
_cell_length_c 4.3749
_cell_angle_alpha 90.00
_cell_angle_beta 90.00
_cell_angle_gamma 120.00
_symmetry_space_group_name_H-M 'P 3 m 1'
_symmetry_Int_Tables_number 156
loop_
_symmetry_equiv_pos_as_xyz
'x,y,z'
'-y,x-y,z'
'-x+y,-x,z'
'-y,-x,z'
'-x+y,y,z'
'x,x-y,z'
loop_
_atom_site_label
_atom_site_fract_x
_atom_site_fract_y
_atom_site_fract_z
Pr1 0.0000 0.0000 0.0000
Np1 0.6667 0.3333 0.5271
Ir1 0.3333 0.6667 0.3875

=====

# 3
# AcGeAs3 PBE relaxed
# D(E_F) = 3.151 states/eV per cell
# E_form = -0.200 eV per atom
# DFT total energy = -23.67 eV for the cell shown
data_AcGeAs3
_chemical_formula_sum 'Ac1 Ge1 As3'
_cell_length_a 5.022
_cell_length_b 5.022
_cell_length_c 5.022
_cell_angle_alpha 90.00
_cell_angle_beta 90.00
_cell_angle_gamma 90.00
_symmetry_space_group_name_H-M 'P m -3 m'
_symmetry_Int_Tables_number 221
_symmetry_space_group_name_Hall '-P 4 2 3'
loop_
_atom_site_label
_atom_site_fract_x
_atom_site_fract_y
_atom_site_fract_z
Ac1 0.000 0.000 0.000
Ge1 0.500 0.500 0.500
As1 0.000 0.500 0.500

=====

# 4
# Ga7Ni4Rh PBE relaxed
# D(E_F) = 14.467 states/eV per cell
# E_form = -0.149 eV per atom
# DFT total energy = -106.91 eV for the cell shown
data_Ga7Ni4Rh
_chemical_formula_sum 'Ga14 Ni8 Rh2'
_cell_length_a 12.038
_cell_length_b 4.482
_cell_length_c 8.508
_cell_angle_alpha 90.00
_cell_angle_beta 128.57
_cell_angle_gamma 90.00
_symmetry_space_group_name_H-M 'C 1 2/m 1'
_symmetry_Int_Tables_number 12
loop_
_symmetry_equiv_pos_as_xyz
'x,y,z'
'-x,-y,-z'
'-x,y,-z'
'x,-y,z'
'x+1/2,y+1/2,z'
'-x+1/2,-y+1/2,-z'
'-x+1/2,y+1/2,-z'
'x+1/2,-y+1/2,z'
loop_
_atom_site_label
_atom_site_fract_x
_atom_site_fract_y
_atom_site_fract_z
Ga1 0.000 0.000 0.000
Ga2 0.069 0.500 0.344
Ga3 0.169 0.000 0.617
Ga4 0.212 0.500 0.865
Ni1 0.062 0.000 0.779
Ni2 0.200 0.000 0.348
Rh1 0.000 0.500 0.000

=====

Question: What is the DFT total energy in the third record?
Answer: -23.67 eV for the cell shown

=====

Question: Number 2 is which compound?
Answer: PrNpIr

=====

Question: Among the records above, which one has the lowest DFT total energy?
Answer: Ga7Ni4Rh